(1)
Compound: CaErSnPb
Source: the Alexandria database
Functional: PBE-GGA
Structure: optimized geometry

Values from the calculation:
crystal system: cubic
SG: F-43m
formation energy from the elements: -0.4621 eV/atom
spin magnetization: 0.00 μB/cell

Cell and atoms, written as POSCAR:
```
CaErSnPb
1.0
7.6853 0.0000 0.0000
0.0000 7.6853 0.0000
0.0000 0.0000 7.6853
Ca Er Sn Pb
4 4 4 4
Direct
0.0000 0.0000 0.0000
0.0000 0.5000 0.5000
0.5000 0.0000 0.5000
0.5000 0.5000 0.0000
0.0000 0.0000 0.5000
0.0000 0.5000 0.0000
0.5000 0.0000 0.0000
0.5000 0.5000 0.5000
0.2500 0.2500 0.2500
0.2500 0.7500 0.7500
0.7500 0.2500 0.7500
0.7500 0.7500 0.2500
0.2500 0.2500 0.7500
0.2500 0.7500 0.2500
0.7500 0.2500 0.2500
0.7500 0.7500 0.7500
```

(2)
Compound: Ca2ErTe4Pb
Source: the Alexandria database
Functional: PBE-GGA
Structure: optimized geometry

Values from the calculation:
crystal system: monoclinic
raw formation energy: -1177.5 meV per atom
SG: P2/m
spin magnetization: 0.00 μB/cell

Cell and atoms, written as POSCAR:
```
Ca2ErTe4Pb
1.0
7.7786 0.0000 0.0000
0.0000 4.4739 0.0000
-2.5959 0.0000 7.4025
Ca Er Te Pb
2 1 4 1
Direct
0.0000 0.0000 0.0000
0.0000 0.5000 0.5000
0.5000 0.0000 0.5000
0.2497 0.0000 0.7398
0.2557 0.5000 0.2597
0.7443 0.5000 0.7403
0.7503 0.0000 0.2602
0.5000 0.5000 0.0000
```

(3)
Compound: Ca2ErPd
Source: the Alexandria database
Functional: PBE-GGA
Structure: optimized geometry

Values from the calculation:
crystal system: trigonal
SG: R-3m
formation energy from the elements: -0.0385 eV/atom
spin magnetization: 1.68 μB/cell

Cell and atoms, written as POSCAR:
```
Ca2ErPd
1.0
3.6758 0.0000 0.0000
-1.8379 3.1833 0.0000
0.0000 0.0000 32.3250
Ca Er Pd
6 3 3
Direct
0.0000 0.0000 0.1079
0.0000 0.0000 0.8921
0.3333 0.6667 0.5588
0.3333 0.6667 0.7746
0.6667 0.3333 0.2254
0.6667 0.3333 0.4412
0.0000 0.0000 0.0000
0.3333 0.6667 0.6667
0.6667 0.3333 0.3333
0.0000 0.0000 0.5000
0.3333 0.6667 0.1667
0.6667 0.3333 0.8333
```

(4)
Compound: CaErPd4
Source: the Alexandria database
Functional: PBE-GGA
Structure: optimized geometry

Values from the calculation:
crystal system: cubic
SG: F-43m
energy above the most stable polymorph in this dataset: 0.000 eV/atom
formation energy from the elements: -0.7394 eV/atom
spin magnetization: 0.00 μB/cell

Cell and atoms, written as POSCAR:
```
CaErPd4
1.0
0.0000 3.8454 3.8454
3.8454 0.0000 3.8454
3.8454 3.8454 0.0000
Ca Er Pd
1 1 4
Direct
0.0000 0.0000 0.0000
0.7500 0.7500 0.7500
0.3751 0.3751 0.3751
0.3751 0.3751 0.8747
0.3751 0.8747 0.3751
0.8747 0.3751 0.3751
```

(5)
Compound: CaErPd2
Source: the Alexandria database
Functional: PBE-GGA
Structure: optimized geometry

Values from the calculation:
crystal system: cubic
SG: Fm-3m
energy above the most stable polymorph in this dataset: 0.059 eV/atom
formation energy from the elements: -0.7846 eV/atom
spin magnetization: 0.00 μB/cell

Cell and atoms, written as POSCAR:
```
CaErPd2
1.0
6.9798 0.0000 0.0000
0.0000 6.9798 0.0000
0.0000 0.0000 6.9798
Ca Er Pd
4 4 8
Direct
0.0000 0.0000 0.0000
0.0000 0.5000 0.5000
0.5000 0.0000 0.5000
0.5000 0.5000 0.0000
0.0000 0.0000 0.5000
0.0000 0.5000 0.0000
0.5000 0.0000 0.0000
0.5000 0.5000 0.5000
0.2500 0.2500 0.2500
0.2500 0.2500 0.7500
0.2500 0.7500 0.2500
0.2500 0.7500 0.7500
0.7500 0.2500 0.2500
0.7500 0.2500 0.7500
0.7500 0.7500 0.2500
0.7500 0.7500 0.7500
```

(6)
Compound: CaErPd
Source: the Alexandria database
Functional: PBE-GGA
Structure: optimized geometry

Values from the calculation:
crystal system: monoclinic
SG: C2/m
energy above the most stable polymorph in this dataset: 0.000 eV/atom
formation energy from the elements: -0.5789 eV/atom
spin magnetization: 0.00 μB/cell

Cell and atoms, written as POSCAR:
```
CaErPd
1.0
12.0985 0.0000 0.0000
0.0000 4.0137 0.0000
-4.6575 0.0000 6.7361
Ca Er Pd
4 4 4
Direct
0.0798 0.0000 0.3648
0.4202 0.5000 0.6352
0.5798 0.5000 0.3648
0.9202 0.0000 0.6352
0.1758 0.5000 0.0801
0.3242 0.0000 0.9199
0.6758 0.0000 0.0801
0.8242 0.5000 0.9199
0.1356 0.5000 0.6950
0.3644 0.0000 0.3050
0.6356 0.0000 0.6950
0.8644 0.5000 0.3050
```